# K2CuIr (PBE, relaxed)
data_K2CuIr
_symmetry_space_group_name_H-M 'C 1 m 1'
_symmetry_Int_Tables_number 8
_cell_length_a 12.467
_cell_length_b 2.732
_cell_length_c 6.105
_cell_angle_alpha 90.00
_cell_angle_beta 106.58
_cell_angle_gamma 90.00
loop_
_symmetry_equiv_pos_as_xyz
'x,y,z'
'x,-y,z'
'x+1/2,y+1/2,z'
'x+1/2,-y+1/2,z'
loop_
_atom_site_label
_atom_site_fract_x
_atom_site_fract_y
_atom_site_fract_z
_atom_site_occupancy
K1 0.000 0.000 0.000 1
K2 0.196 0.000 0.608 1
Cu1 0.415 0.000 0.433 1
Ir1 0.267 0.500 0.154 1
# Fermi-level density of states = 2.42 states/eV/f.u.
# offset from the most stable computed form = 109.8 meV/atom
# size of the total moment = 0.00 μB/cell
# final energy = -3.215 eV/atom
# V = 199.3 Å³/cell

# K2CuIr (PBE, relaxed)
data_K2CuIr
_symmetry_space_group_name_H-M 'C m m m'
_symmetry_Int_Tables_number 65
_symmetry_space_group_name_Hall '-C 2 2'
_cell_length_a 6.123
_cell_length_b 10.358
_cell_length_c 2.792
_cell_angle_alpha 90.00
_cell_angle_beta 90.00
_cell_angle_gamma 90.00
loop_
_atom_site_label
_atom_site_fract_x
_atom_site_fract_y
_atom_site_fract_z
_atom_site_occupancy
K1 0.250 0.250 0.000 1
Cu1 0.000 0.000 0.500 1
Ir1 0.000 0.500 0.500 1
# Fermi-level density of states = 2.69 states/eV/f.u.
# offset from the most stable computed form = 377.4 meV/atom
# size of the total moment = 0.01 μB/cell
# final energy = -2.947 eV/atom
# V = 177.0 Å³/cell

# K2CuIr (PBE, relaxed)
data_K2CuIr
_symmetry_space_group_name_H-M 'F -4 3 m'
_symmetry_Int_Tables_number 216
_symmetry_space_group_name_Hall 'F -4 2 3'
_cell_length_a 7.112
_cell_length_b 7.112
_cell_length_c 7.112
_cell_angle_alpha 90.00
_cell_angle_beta 90.00
_cell_angle_gamma 90.00
loop_
_atom_site_label
_atom_site_fract_x
_atom_site_fract_y
_atom_site_fract_z
_atom_site_occupancy
K1 0.000 0.000 0.000 1
K2 0.250 0.250 0.250 1
Cu1 0.250 0.250 0.750 1
Ir1 0.000 0.000 0.500 1
# Fermi-level density of states = 8.14 states/eV/f.u.
# offset from the most stable computed form = 415.0 meV/atom
# size of the total moment = 0.00 μB/cell
# final energy = -2.910 eV/atom
# V = 359.7 Å³/cell

# K2CuIr2 (PBE, relaxed)
data_K2CuIr2
_symmetry_space_group_name_H-M 'P 4/m b m'
_symmetry_Int_Tables_number 127
_symmetry_space_group_name_Hall '-P 4 2ab'
_cell_length_a 9.828
_cell_length_b 9.828
_cell_length_c 2.551
_cell_angle_alpha 90.00
_cell_angle_beta 90.00
_cell_angle_gamma 90.00
loop_
_atom_site_label
_atom_site_fract_x
_atom_site_fract_y
_atom_site_fract_z
_atom_site_occupancy
K1 0.125 0.375 0.000 1
Cu1 0.000 0.000 0.000 1
Ir1 0.174 0.674 0.500 1
# Fermi-level density of states = 3.32 states/eV/f.u.
# offset from the most stable computed form = 691.1 meV/atom
# size of the total moment = 0.51 μB/cell
# final energy = -3.517 eV/atom
# V = 246.4 Å³/cell

# K2CuIr2 (PBE, relaxed)
data_K2CuIr2
_symmetry_space_group_name_H-M 'I 4/m m m'
_symmetry_Int_Tables_number 139
_symmetry_space_group_name_Hall '-I 4 2'
_cell_length_a 3.565
_cell_length_b 3.565
_cell_length_c 20.687
_cell_angle_alpha 90.00
_cell_angle_beta 90.00
_cell_angle_gamma 90.00
loop_
_atom_site_label
_atom_site_fract_x
_atom_site_fract_y
_atom_site_fract_z
_atom_site_occupancy
K1 0.000 0.000 0.110 1
Cu1 0.000 0.000 0.500 1
Ir1 0.000 0.500 0.250 1
# Fermi-level density of states = 3.22 states/eV/f.u.
# offset from the most stable computed form = 0.0 meV/atom
# size of the total moment = 0.00 μB/cell
# final energy = -4.208 eV/atom
# V = 262.9 Å³/cell

# K2CuIr (PBE, relaxed)
data_K2CuIr
_symmetry_space_group_name_H-M 'P 1 m 1'
_symmetry_Int_Tables_number 6
_cell_length_a 2.885
_cell_length_b 4.109
_cell_length_c 9.822
_cell_angle_alpha 90.00
_cell_angle_beta 96.96
_cell_angle_gamma 90.00
loop_
_symmetry_equiv_pos_as_xyz
'x,y,z'
'x,-y,z'
loop_
_atom_site_label
_atom_site_fract_x
_atom_site_fract_y
_atom_site_fract_z
_atom_site_occupancy
K1 0.000 0.000 0.000 1
K2 0.209 0.500 0.558 1
Cu1 0.108 0.500 0.256 1
Ir1 0.625 0.000 0.302 1
# Fermi-level density of states = 3.31 states/eV/f.u.
# offset from the most stable computed form = 0.0 meV/atom
# size of the total moment = 0.00 μB/cell
# final energy = -3.325 eV/atom
# V = 115.6 Å³/cell

Number 1: ΔE_f 0.57 eV/atom. Number 2: ΔE_f 0.84 eV/atom. Number 3: ΔE_f 0.88 eV/atom. Number 4: ΔE_f 1.29 eV/atom. Number 5: ΔE_f 0.59 eV/atom. Number 6: ΔE_f 0.46 eV/atom.